Entry 1:
The following is a PBE calculation of ZrGe2S after structural relaxation, from the Open Quantum Materials Database.

Summary:
SG: No. 26
energy: -5.980 eV per atom
V: 149.22 Å³/cell

Lattice parameters (Å, degrees): 3.7740 5.5075 7.1789 90.00 90.00 90.00
Fractional positions:
1 Zr 0.0000 0.1299 0.0000
2 Zr 0.0000 0.8701 0.5000
3 Ge 0.0000 0.3593 0.4002
4 Ge 0.0000 0.6407 0.9002
5 Ge 0.5000 0.1475 0.7001
6 Ge 0.5000 0.8525 0.2001
7 S 0.5000 0.4049 0.1582
8 S 0.5000 0.5951 0.6582

=====

Entry 2:
The following is a PBE calculation of ZrBeGaFe after structural relaxation, from the Open Quantum Materials Database.

Summary:
SG: No. 216
energy relative to the lowest polymorph listed for this composition: 0 meV/atom
V: 55.12 Å³/cell

Lattice parameters (Å, degrees): 4.2717 4.2717 4.2717 60.00 60.00 60.00
Fractional positions:
1 Zr 0.0000 0.0000 0.0000
2 Be 0.2500 0.2500 0.2500
3 Ga 0.5000 0.5000 0.5000
4 Fe 0.7500 0.7500 0.7500

=====

Entry 3:
The following is a PBE calculation of MgCdSO after structural relaxation, from the Open Quantum Materials Database.

Summary:
SG: No. 63
energy relative to the lowest polymorph listed for this composition: 364 meV/atom
V: 129.73 Å³/cell

Lattice parameters (Å, degrees): 6.2411 6.2411 5.8997 90.00 90.00 145.63
Fractional positions:
1 Mg 0.1052 0.8948 0.7500
2 Mg 0.8948 0.1052 0.2500
3 Cd 0.3914 0.6086 0.7500
4 Cd 0.6086 0.3914 0.2500
5 S 0.2676 0.7324 0.2500
6 S 0.7324 0.2676 0.7500
7 O 0.0000 0.0000 0.0000
8 O 0.0000 0.0000 0.5000

=====

Entry 4:
The following is a PBE calculation of ErPa after structural relaxation, from the Open Quantum Materials Database.

Summary:
SG: No. 225
energy relative to the lowest polymorph listed for this composition: 1170 meV/atom
calculated formation energy: 1331 meV per atom
V: 60.55 Å³/cell

Lattice parameters (Å, degrees): 4.4077 4.4077 4.4077 60.00 60.00 60.00
Fractional positions:
1 Er 0.0000 0.0000 0.0000
2 Pa 0.5000 0.5000 0.5000

=====

Entry 5:
The following is a PBE calculation of RbCuPtSe3 after structural relaxation, from the Open Quantum Materials Database.

Summary:
SG: No. 11
energy relative to the lowest polymorph listed for this composition: 0 meV/atom
V: 302.96 Å³/cell

Lattice parameters (Å, degrees): 8.1416 3.9498 10.0865 90.00 110.93 90.00
Fractional positions:
1 Rb 0.2480 0.2500 0.1994
2 Rb 0.7520 0.7500 0.8006
3 Cu 0.4349 0.2500 0.9169
4 Cu 0.5651 0.7500 0.0831
5 Pt 0.1658 0.7500 0.6486
6 Pt 0.8342 0.2500 0.3514
7 Se 0.0441 0.7500 0.3809
8 Se 0.2503 0.7500 0.9183
9 Se 0.3720 0.2500 0.6586
10 Se 0.6280 0.7500 0.3414
11 Se 0.7497 0.2500 0.0817
12 Se 0.9559 0.2500 0.6191

=====

Entry 6:
The following is a PBE calculation of Ba2ZnB2O6 after structural relaxation, from the Open Quantum Materials Database.

Summary:
SG: No. 29
energy: -6.898 eV per atom
V: 1319.57 Å³/cell

Lattice parameters (Å, degrees): 14.8738 8.7066 10.1898 90.00 90.00 90.00
Fractional positions:
1 Ba 0.0961 0.1880 0.0000
2 Ba 0.1136 0.6305 0.7120
3 Ba 0.1137 0.7118 0.2591
4 Ba 0.1195 0.1722 0.4741
5 Ba 0.3805 0.1722 0.9741
6 Ba 0.3864 0.6305 0.2120
7 Ba 0.3863 0.7118 0.7591
8 Ba 0.4039 0.1880 0.5000
9 Ba 0.5961 0.8120 0.0000
10 Ba 0.6137 0.2882 0.2591
11 Ba 0.6136 0.3695 0.7120
12 Ba 0.6195 0.8278 0.4741
13 Ba 0.8805 0.8278 0.9741
14 Ba 0.8863 0.2882 0.7591
15 Ba 0.8864 0.3695 0.2120
16 Ba 0.9039 0.8120 0.5000
17 Zn 0.2087 0.0047 0.7339
18 Zn 0.2273 0.5111 0.9872
19 Zn 0.2727 0.5111 0.4872
20 Zn 0.2913 0.0047 0.2339
21 Zn 0.7087 0.9953 0.7339
22 Zn 0.7273 0.4889 0.9872
23 Zn 0.7727 0.4889 0.4872
24 Zn 0.7913 0.9953 0.2339
25 B 0.0107 0.9383 0.7550
26 B 0.0123 0.5111 0.0042
27 B 0.2337 0.8456 0.9970
28 B 0.2488 0.3392 0.2424
29 B 0.2512 0.3392 0.7424
30 B 0.2663 0.8456 0.4970
31 B 0.4877 0.5111 0.5042
32 B 0.4893 0.9383 0.2550
33 B 0.5107 0.0617 0.7550
34 B 0.5123 0.4889 0.0042
35 B 0.7337 0.1544 0.9970
36 B 0.7488 0.6608 0.2424
37 B 0.7512 0.6608 0.7424
38 B 0.7663 0.1544 0.4970
39 B 0.9877 0.4889 0.5042
40 B 0.9893 0.0617 0.2550
41 O 0.0102 0.3739 0.5910
42 O 0.0175 0.9518 0.3431
43 O 0.0345 0.2015 0.2463
44 O 0.0477 0.6043 0.4738
45 O 0.0846 0.9604 0.6711
46 O 0.0977 0.4967 0.9479
47 O 0.2242 0.9813 0.0666
48 O 0.2256 0.4710 0.3103
49 O 0.2305 0.8408 0.8616
50 O 0.2315 0.2061 0.8118
51 O 0.2455 0.3411 0.6071
52 O 0.2462 0.7110 0.0668
53 O 0.2545 0.3411 0.1071
54 O 0.2538 0.7110 0.5668
55 O 0.2685 0.2061 0.3118
56 O 0.2695 0.8408 0.3616
57 O 0.2744 0.4710 0.8103
58 O 0.2758 0.9813 0.5666
59 O 0.4023 0.4967 0.4479
60 O 0.4154 0.9604 0.1711
61 O 0.4523 0.6043 0.9738
62 O 0.4655 0.2015 0.7463
63 O 0.4825 0.9518 0.8431
64 O 0.4898 0.3739 0.0910
65 O 0.5102 0.6261 0.5910
66 O 0.5175 0.0482 0.3431
67 O 0.5345 0.7985 0.2463
68 O 0.5477 0.3957 0.4738
69 O 0.5846 0.0396 0.6711
70 O 0.5977 0.5033 0.9479
71 O 0.7242 0.0187 0.0666
72 O 0.7256 0.5290 0.3103
73 O 0.7305 0.1592 0.8616
74 O 0.7315 0.7939 0.8118
75 O 0.7462 0.2890 0.0668
76 O 0.7455 0.6589 0.6071
77 O 0.7538 0.2890 0.5668
78 O 0.7545 0.6589 0.1071
79 O 0.7685 0.7939 0.3118
80 O 0.7695 0.1592 0.3616
81 O 0.7744 0.5290 0.8103
82 O 0.7758 0.0187 0.5666
83 O 0.9023 0.5033 0.4479
84 O 0.9154 0.0396 0.1711
85 O 0.9523 0.3957 0.9738
86 O 0.9655 0.7985 0.7463
87 O 0.9825 0.0482 0.8431
88 O 0.9898 0.6261 0.0910

=====

Entry 7:
The following is a PBE calculation of Nb4InCoN2 after structural relaxation, from the Open Quantum Materials Database.

Summary:
SG: No. 187
energy: -8.837 eV per atom
V: 115.51 Å³/cell

Lattice parameters (Å, degrees): 3.1365 3.1365 13.5588 90.00 90.00 120.00
Fractional positions:
1 Nb 0.0000 0.0000 0.1407
2 Nb 0.0000 0.0000 0.8593
3 Nb 0.6667 0.3333 0.3201
4 Nb 0.6667 0.3333 0.6799
5 In 0.0000 0.0000 0.5000
6 Co 0.6667 0.3333 0.0000
7 N 0.3333 0.6667 0.2302
8 N 0.3333 0.6667 0.7698

=====

Entry 8:
The following is a PBE calculation of Gd3Tl4Sn3 after structural relaxation, from the Open Quantum Materials Database.

Summary:
SG: No. 65
energy relative to the lowest polymorph listed for this composition: 47 meV/atom
V: 269.38 Å³/cell

Lattice parameters (Å, degrees): 12.4075 12.4075 4.7408 90.00 90.00 158.34
Fractional positions:
1 Gd 0.0000 0.0000 0.0000
2 Gd 0.1889 0.8111 0.0000
3 Gd 0.8111 0.1889 0.0000
4 Tl 0.0995 0.9005 0.5000
5 Tl 0.2936 0.7064 0.5000
6 Tl 0.7064 0.2936 0.5000
7 Tl 0.9005 0.0995 0.5000
8 Sn 0.4031 0.5969 0.0000
9 Sn 0.5000 0.5000 0.5000
10 Sn 0.5969 0.4031 0.0000

=====

Entry 9:
The following is a PBE calculation of Cu2Ag after structural relaxation, from the Open Quantum Materials Database.

Summary:
SG: No. 8
energy relative to the lowest polymorph listed for this composition: 43 meV/atom
calculated formation energy: 89 meV per atom
V: 125.59 Å³/cell

Lattice parameters (Å, degrees): 7.1260 7.1260 7.9341 123.80 123.80 22.24
Fractional positions:
1 Cu 0.0000 0.0000 0.0000
2 Cu 0.1107 0.1107 0.6451
3 Cu 0.3398 0.3398 0.0042
4 Cu 0.5516 0.5516 0.3185
5 Cu 0.6749 0.6749 0.9708
6 Cu 0.8959 0.8959 0.3117
7 Ag 0.2201 0.2201 0.2994
8 Ag 0.4539 0.4539 0.6598
9 Ag 0.7774 0.7774 0.6656

=====

Entry 10:
The following is a PBE calculation of Nd4Pd3Pt after structural relaxation, from the Open Quantum Materials Database.

Summary:
SG: No. 25
calculated formation energy: -905 meV per atom
V: 195.72 Å³/cell

Lattice parameters (Å, degrees): 3.8852 4.6296 10.8815 90.00 90.00 90.00
Fractional positions:
1 Nd 0.0000 0.0000 0.0000
2 Nd 0.0000 0.5000 0.2713
3 Nd 0.5000 0.0000 0.4947
4 Nd 0.5000 0.5000 0.7707
5 Pd 0.0000 0.0000 0.7192
6 Pd 0.0000 0.5000 0.5498
7 Pd 0.5000 0.5000 0.0468
8 Pt 0.5000 0.0000 0.2207

=====

Entry 11:
The following is a PBE calculation of InPIrO after structural relaxation, from the Open Quantum Materials Database.

Summary:
SG: No. 129
energy relative to the lowest polymorph listed for this composition: 3 meV/atom
V: 130.88 Å³/cell

Lattice parameters (Å, degrees): 3.9586 3.9586 8.3518 90.00 90.00 90.00
Fractional positions:
1 In 0.2500 0.2500 0.1182
2 In 0.7500 0.7500 0.8818
3 P 0.2500 0.2500 0.6561
4 P 0.7500 0.7500 0.3439
5 Ir 0.2500 0.7500 0.5000
6 Ir 0.7500 0.2500 0.5000
7 O 0.2500 0.7500 0.0000
8 O 0.7500 0.2500 0.0000

=====

Entry 12:
The following is a PBE calculation of Na2Sc2In2AgAu after structural relaxation, from the Open Quantum Materials Database.

Summary:
SG: No. 115
energy: -3.606 eV per atom
V: 161.46 Å³/cell

Lattice parameters (Å, degrees): 4.8490 4.8490 6.8667 90.00 90.00 90.00
Fractional positions:
1 Na 0.0000 0.0000 0.0000
2 Na 0.5000 0.5000 0.5000
3 Sc 0.0000 0.5000 0.7452
4 Sc 0.5000 0.0000 0.2548
5 In 0.0000 0.5000 0.2467
6 In 0.5000 0.0000 0.7533
7 Ag 0.5000 0.5000 0.0000
8 Au 0.0000 0.0000 0.5000